Entry 1:
The following is a PBE calculation of a relaxed PrLuGa2 crystal, from the Alexandria database.

Results
* DFT formation energy: -1.452 eV per formula unit
* VASP energy: -4.2015 eV per atom
* spin magnetization: 0.00 μB per formula unit

Cell: 9.0963 9.0963 9.0963 Å, 23.30 23.30 23.30°
Last column: nearest neighbours and their distance in Å.
Atoms (fractional coordinates):
Pr: 0.0000 0.0000 0.0000  6 Ga 3.15
Lu: 0.5000 0.5000 0.5000  6 Ga 2.98
Ga: 0.2456 0.2456 0.2456  3 Lu 2.98, 3 Pr 3.15
Ga: 0.7544 0.7544 0.7544  3 Lu 2.98, 3 Pr 3.15

Entry 2:
The following is a PBE calculation of a relaxed PrLuGa2 crystal, from the Alexandria database.

Results
* DFT formation energy: -2.242 eV per formula unit
* VASP energy: -4.3990 eV per atom
* spin magnetization: 0.00 μB per formula unit

Cell: 3.6120 3.6120 7.2195 Å, 90.00 90.00 90.00°
Last column: nearest neighbours and their distance in Å.
Atoms (fractional coordinates):
Pr: 0.0000 0.0000 0.0000  8 Ga 3.24, 2 Lu 3.61, 4 Pr 3.61
Lu: 0.0000 0.0000 0.5000  8 Ga 3.03
Ga: 0.5000 0.5000 0.2751  4 Lu 3.03, 4 Pr 3.24, 1 Ga 3.25
Ga: 0.5000 0.5000 0.7249  4 Lu 3.03, 4 Pr 3.24, 1 Ga 3.25

Entry 3:
The following is a PBE calculation of a relaxed PrLu2Ga crystal, from the Alexandria database.

Results
* DFT formation energy: -0.869 eV per formula unit
* VASP energy: -4.4293 eV per atom
* spin magnetization: 0.00 μB per formula unit

Cell: 4.7417 4.7417 4.7055 Å, 90.00 90.00 90.00°
Last column: nearest neighbours and their distance in Å.
Atoms (fractional coordinates):
Pr: 0.0000 0.0000 0.0000  8 Lu 3.34, 4 Ga 3.35
Lu: 0.0000 0.5000 0.5000  4 Pr 3.34, 4 Ga 3.34, 4 Lu 3.35
Lu: 0.5000 0.0000 0.5000  4 Pr 3.34, 4 Ga 3.34, 4 Lu 3.35
Ga: 0.5000 0.5000 0.0000  8 Lu 3.34, 4 Pr 3.35

Entry 4:
The following is a PBE calculation of a relaxed Pr2LuGa crystal, from the Alexandria database.

Results
* DFT formation energy: -0.468 eV per formula unit
* VASP energy: -4.3936 eV per atom
* spin magnetization: 0.00 μB per formula unit

Cell: 5.4359 5.4359 5.4359 Å, 60.00 60.00 60.00°
Last column: nearest neighbours and their distance in Å.
Atoms (fractional coordinates):
Pr: 0.2500 0.2500 0.2500  4 Ga 3.33, 4 Lu 3.33
Pr: 0.7500 0.7500 0.7500  4 Ga 3.33, 4 Lu 3.33
Lu: 0.0000 0.0000 0.0000  8 Pr 3.33
Ga: 0.5000 0.5000 0.5000  8 Pr 3.33

Entry 5:
The following is a PBE calculation of a relaxed PrLuGa2 crystal, from the Alexandria database.

Results
* DFT formation energy: -2.147 eV per formula unit
* VASP energy: -4.3753 eV per atom
* spin magnetization: 0.00 μB per formula unit

Cell: 5.1145 5.1145 5.1145 Å, 60.00 60.00 60.00°
Last column: nearest neighbours and their distance in Å.
Atoms (fractional coordinates):
Pr: 0.0000 0.0000 0.0000  8 Ga 3.13
Lu: 0.5000 0.5000 0.5000  8 Ga 3.13
Ga: 0.2500 0.2500 0.2500  4 Lu 3.13, 4 Pr 3.13
Ga: 0.7500 0.7500 0.7500  4 Pr 3.13, 4 Lu 3.13

Entry 6:
The following is a PBE calculation of a relaxed Pr2LuGa crystal, from the Alexandria database.

Results
* DFT formation energy: -0.839 eV per formula unit
* VASP energy: -4.4865 eV per atom
* spin magnetization: 0.00 μB per formula unit

Cell: 3.6333 3.6333 8.9955 Å, 90.00 90.00 90.00°
Last column: nearest neighbours and their distance in Å.
Atoms (fractional coordinates):
Pr: 0.0000 0.0000 0.2140  4 Ga 3.21
Pr: 0.0000 0.0000 0.7860  4 Ga 3.21
Lu: 0.5000 0.5000 0.5000  4 Lu 3.63, 8 Pr 3.64
Ga: 0.5000 0.5000 0.0000  8 Pr 3.21